Record 1
A relaxed Cu3TeO6 crystal, computed with PBEsol.

The calculation puts the density of states at the Fermi level at 21.9 states/eV/cell. Its symmetry is Ia-3. Its uncorrected formation energy is -0.7008 eV per atom.

abc: 8.266 8.266 8.266
angles: 109.47 109.47 109.47
Fractional positions:
Cu: 0.030 0.780 0.250
Cu: 0.220 0.750 0.970
Cu: 0.250 0.030 0.780
Cu: 0.250 0.530 0.280
Cu: 0.280 0.250 0.530
Cu: 0.470 0.720 0.750
Cu: 0.530 0.280 0.250
Cu: 0.720 0.750 0.470
Cu: 0.750 0.470 0.720
Cu: 0.750 0.970 0.220
Cu: 0.780 0.250 0.030
Cu: 0.970 0.220 0.750
Te: 0.000 0.000 0.000
Te: 0.000 0.500 0.500
Te: 0.500 0.000 0.500
Te: 0.500 0.500 0.000
O: 0.033 0.572 0.303
O: 0.040 0.269 0.072
O: 0.072 0.040 0.269
O: 0.197 0.769 0.729
O: 0.229 0.460 0.533
O: 0.231 0.271 0.803
O: 0.269 0.072 0.040
O: 0.271 0.803 0.231
O: 0.303 0.033 0.572
O: 0.428 0.697 0.967
O: 0.460 0.533 0.229
O: 0.467 0.771 0.540
O: 0.533 0.229 0.460
O: 0.540 0.467 0.771
O: 0.572 0.303 0.033
O: 0.697 0.967 0.428
O: 0.729 0.197 0.769
O: 0.731 0.928 0.960
O: 0.769 0.729 0.197
O: 0.771 0.540 0.467
O: 0.803 0.231 0.271
O: 0.928 0.960 0.731
O: 0.960 0.731 0.928
O: 0.967 0.428 0.697

=====

Record 2
A relaxed Sr2NbRePd crystal, computed with PBEsol.

For the total energy, the calculation gives -26.93 eV for the cell shown. The calculation puts the density of states at the Fermi level at 4.3 states/eV/cell. Its symmetry is P4/mmm.

abc: 5.834 5.834 4.551
angles: 90.00 90.00 90.00
Fractional positions:
Sr: 0.000 0.500 0.000
Sr: 0.500 0.000 0.000
Nb: 0.000 0.000 0.000
Re: 0.000 0.000 0.500
Pd: 0.500 0.500 0.500